A plane-wave DFT calculation with PBE was carried out for a geometry-optimized LiHoMgTe3 structure.

Properties
**Calculated total energy**: -4.007 eV per atom
**Theoretical density**: 4.84 g cm⁻³
**Total magnetic moment**: 0.00 μB/f.u.
**Offset from the most stable computed form**: 0.0 meV/atom

Structure (CIF):
```
data_LiHoMgTe3
_cell_length_a 8.3643
_cell_length_b 4.3784
_cell_length_c 11.2585
_cell_angle_alpha 90.00
_cell_angle_beta 105.49
_cell_angle_gamma 90.00
_space_group_name_H-M_alt 'P 1 21/m 1'
_space_group_IT_number 11
loop_
_space_group_symop_operation_xyz
'x,y,z'
'-x,-y,-z'
'-x,y+1/2,-z'
'x,-y+1/2,z'
loop_
_atom_site_label
_atom_site_fract_x
_atom_site_fract_y
_atom_site_fract_z
Li1 0.1744 0.2500 0.1155
Ho1 0.3284 0.7500 0.8552
Mg1 0.0681 0.2500 0.6059
Te1 0.0616 0.2500 0.8513
Te2 0.2532 0.7500 0.5637
Te3 0.4155 0.7500 0.1390
```

A plane-wave DFT calculation with PBE was carried out for a geometry-optimized Pm2PSe structure.

Properties
**Calculated total energy**: -6.352 eV per atom
**Theoretical density**: 6.53 g cm⁻³
**Total magnetic moment**: 0.01 μB/f.u.
**Offset from the most stable computed form**: 30.2 meV/atom

Structure (CIF):
```
data_Pm2PSe
_cell_length_a 4.1615
_cell_length_b 4.1615
_cell_length_c 5.8746
_cell_angle_alpha 90.00
_cell_angle_beta 90.00
_cell_angle_gamma 90.00
_space_group_name_H-M_alt 'P 4/m m m'
_space_group_IT_number 123
_space_group_name_Hall '-P 4 2'
loop_
_atom_site_label
_atom_site_fract_x
_atom_site_fract_y
_atom_site_fract_z
Pm1 0.0000 0.0000 0.0000
Pm2 0.5000 0.5000 0.5000
P1 0.0000 0.0000 0.5000
Se1 0.5000 0.5000 0.0000
```

A plane-wave DFT calculation with PBE was carried out for a geometry-optimized Ta4TlAuN2 structure.

Properties
**Calculated total energy**: -9.121 eV per atom
**Theoretical density**: 15.60 g cm⁻³
**Total magnetic moment**: 0.00 μB/f.u.

Structure (CIF):
```
data_Ta4TlAuN2
_cell_length_a 3.2102
_cell_length_b 3.2102
_cell_length_c 13.7503
_cell_angle_alpha 90.00
_cell_angle_beta 90.00
_cell_angle_gamma 120.00
_space_group_name_H-M_alt 'P -6 m 2'
_space_group_IT_number 187
_space_group_name_Hall 'P -6 2'
loop_
_atom_site_label
_atom_site_fract_x
_atom_site_fract_y
_atom_site_fract_z
Ta1 0.0000 0.0000 0.1610
Ta2 0.6667 0.3333 0.3245
Tl1 0.0000 0.0000 0.5000
Au1 0.6667 0.3333 0.0000
N1 0.3333 0.6667 0.2412
```

A plane-wave DFT calculation with PBE was carried out for a geometry-optimized LiTaIn structure.

Properties
**Calculated total energy**: -4.430 eV per atom
**Theoretical density**: 7.31 g cm⁻³
**Total magnetic moment**: 0.03 μB/f.u.
**Offset from the most stable computed form**: 277.0 meV/atom

Structure (CIF):
```
data_LiTaIn
_cell_length_a 6.5020
_cell_length_b 6.5020
_cell_length_c 6.5020
_cell_angle_alpha 90.00
_cell_angle_beta 90.00
_cell_angle_gamma 90.00
_space_group_name_H-M_alt 'F -4 3 m'
_space_group_IT_number 216
_space_group_name_Hall 'F -4 2 3'
loop_
_atom_site_label
_atom_site_fract_x
_atom_site_fract_y
_atom_site_fract_z
Li1 0.0000 0.0000 0.0000
Ta1 0.2500 0.2500 0.7500
In1 0.0000 0.0000 0.5000
```

A plane-wave DFT calculation with PBE was carried out for a geometry-optimized DyAgSeS structure.

Properties
**Calculated total energy**: -5.035 eV per atom
**Theoretical density**: 6.78 g cm⁻³
**Total magnetic moment**: 0.00 μB/f.u.

Structure (CIF):
```
data_DyAgSeS
_cell_length_a 9.1734
_cell_length_b 9.6784
_cell_length_c 4.2074
_cell_angle_alpha 90.00
_cell_angle_beta 90.00
_cell_angle_gamma 90.00
_space_group_name_H-M_alt 'C m m 2'
_space_group_IT_number 35
loop_
_space_group_symop_operation_xyz
'x,y,z'
'-x,-y,z'
'-x,y,z'
'x,-y,z'
'x+1/2,y+1/2,z'
'-x+1/2,-y+1/2,z'
'-x+1/2,y+1/2,z'
'x+1/2,-y+1/2,z'
loop_
_atom_site_label
_atom_site_fract_x
_atom_site_fract_y
_atom_site_fract_z
Dy1 0.0000 0.0000 0.0000
Dy2 0.0000 0.5000 0.4216
Ag1 0.2500 0.2500 0.1707
Se1 0.0000 0.2037 0.4916
S1 0.1997 0.5000 0.9350
```

A plane-wave DFT calculation with PBE was carried out for a geometry-optimized CsYNiS3 structure.

Properties
**Calculated total energy**: -5.520 eV per atom
**Theoretical density**: 3.81 g cm⁻³
**Total magnetic moment**: 1.24 μB/f.u.
**Offset from the most stable computed form**: 2.4 meV/atom

Structure (CIF):
```
data_CsYNiS3
_cell_length_a 15.4435
_cell_length_b 3.9688
_cell_length_c 10.7024
_cell_angle_alpha 90.00
_cell_angle_beta 90.00
_cell_angle_gamma 90.00
_space_group_name_H-M_alt 'P n m a'
_space_group_IT_number 62
loop_
_space_group_symop_operation_xyz
'x,y,z'
'-x,-y,-z'
'-x+1/2,-y,z+1/2'
'x+1/2,y,-z+1/2'
'x+1/2,-y+1/2,-z+1/2'
'-x+1/2,y+1/2,z+1/2'
'-x,y+1/2,-z'
'x,-y+1/2,z'
loop_
_atom_site_label
_atom_site_fract_x
_atom_site_fract_y
_atom_site_fract_z
Cs1 0.2319 0.2500 0.0209
Y1 0.0187 0.2500 0.3462
Ni1 0.0127 0.7500 0.0883
S1 0.0584 0.7500 0.8930
S2 0.0910 0.2500 0.5749
S3 0.1167 0.7500 0.2409
```

The lowest theoretical density belongs to which entry? CsYNiS3